Record 1
Density functional theory data (GGA-PBE) for an optimized crystal structure of FeW3C2.

a = 3.0147 Å, b = 3.0147 Å, c = 18.3576 Å
α = 90.00°, β = 90.00°, γ = 120.00°
Space group P6_3/mmc (No. 194)
Symmetry-distinct sites (fractional):
Fe (0.0000, 0.0000, 0.2500) [2 per cell]
W (0.0000, 0.0000, 0.0000) [2 per cell]
W (0.3333, 0.6667, 0.1381) [4 per cell]
C (0.3333, 0.6667, 0.5724) [4 per cell]

E_tot, eV/atom: -10.66
Density, Mg/m³: 14.51

Record 2
Density functional theory data (GGA-PBE) for an optimized crystal structure of Fe21W2C6.

a = 10.479 Å, b = 10.479 Å, c = 10.479 Å
α = 90.00°, β = 90.00°, γ = 90.00°
Space group Fm-3m (No. 225)
Symmetry-distinct sites (fractional):
Fe (0.000, 0.000, 0.000) [4 per cell]
Fe (0.000, 0.170, 0.170) [48 per cell]
Fe (0.116, 0.116, 0.384) [32 per cell]
W (0.250, 0.250, 0.250) [8 per cell]
C (0.000, 0.000, 0.279) [24 per cell]

E_tot, eV/atom: -8.81
Density, Mg/m³: 9.31

Record 3
Density functional theory data (GGA-PBE) for an optimized crystal structure of FeW2C.

a = 8.805 Å, b = 5.051 Å, c = 13.483 Å
α = 90.00°, β = 102.68°, γ = 90.00°
Space group C2/c (No. 15)
Symmetry-distinct sites (fractional):
Fe (0.000, 0.108, 0.250) [4 per cell]
Fe (0.238, 0.175, 0.749) [8 per cell]
W (0.036, 0.418, 0.869) [8 per cell]
W (0.115, 0.085, 0.092) [8 per cell]
W (0.219, 0.083, 0.408) [8 per cell]
C (0.075, 0.276, 0.500) [8 per cell]
C (0.250, 0.250, 0.000) [4 per cell]

E_tot, eV/atom: -10.68
Density, Mg/m³: 14.84

Record 4
Density functional theory data (GGA-PBE) for an optimized crystal structure of FeW2C.

a = 5.453 Å, b = 7.136 Å, c = 4.888 Å
α = 90.00°, β = 90.00°, γ = 90.00°
Space group Pnma (No. 62)
Symmetry-distinct sites (fractional):
Fe (0.031, 0.250, 0.158) [4 per cell]
W (0.186, 0.064, 0.668) [8 per cell]
C (0.134, 0.750, 0.472) [4 per cell]

E_tot, eV/atom: -10.66
Density, Mg/m³: 15.21

Record 5
Density functional theory data (GGA-PBE) for an optimized crystal structure of Fe6W6C.

a = 10.916 Å, b = 10.916 Å, c = 10.916 Å
α = 90.00°, β = 90.00°, γ = 90.00°
Space group Fd-3m (No. 227, origin choice 2)
Symmetry-distinct sites (fractional):
Fe (0.000, 0.000, 0.000) [16 per cell]
Fe (0.047, 0.047, 0.203) [32 per cell]
W (0.074, 0.375, 0.875) [48 per cell]
C (0.125, 0.125, 0.625) [8 per cell]

E_tot, eV/atom: -10.59
Density, Mg/m³: 14.81

Record 6
Density functional theory data (GGA-PBE) for an optimized crystal structure of Fe2WC.

a = 5.238 Å, b = 7.153 Å, c = 4.448 Å
α = 90.00°, β = 90.00°, γ = 90.00°
Space group Pnma (No. 62)
Symmetry-distinct sites (fractional):
Fe (0.179, 0.072, 0.160) [8 per cell]
W (0.037, 0.250, 0.649) [4 per cell]
C (0.108, 0.750, 0.889) [4 per cell]

E_tot, eV/atom: -9.65
Density, Mg/m³: 12.26

Record 7
Density functional theory data (GGA-PBE) for an optimized crystal structure of Y2Fe3W4C3.

a = 9.344 Å, b = 5.394 Å, c = 13.782 Å
α = 90.00°, β = 103.54°, γ = 90.00°
Space group C2/c (No. 15)
Symmetry-distinct sites (fractional):
Y (0.039, 0.083, 0.374) [8 per cell]
Fe (0.000, 0.418, 0.750) [4 per cell]
Fe (0.248, 0.163, 0.751) [8 per cell]
W (0.111, 0.404, 0.584) [8 per cell]
W (0.228, 0.421, 0.916) [8 per cell]
C (0.086, 0.257, 0.000) [8 per cell]
C (0.250, 0.250, 0.500) [4 per cell]

E_tot, eV/atom: -9.90
Density, Mg/m³: 10.99

Record 8
Density functional theory data (GGA-PBE) for an optimized crystal structure of ZnFeW4C2.

a = 3.0168 Å, b = 3.0168 Å, c = 13.2750 Å
α = 90.00°, β = 90.00°, γ = 120.00°
Space group P-6m2 (No. 187)
Symmetry-distinct sites (fractional):
Zn (0.0000, 0.0000, 0.0000) [1 per cell]
Fe (0.6667, 0.3333, 0.5000) [1 per cell]
W (0.0000, 0.0000, 0.3497) [2 per cell]
W (0.6667, 0.3333, 0.1690) [2 per cell]
C (0.3333, 0.6667, 0.2583) [2 per cell]

E_tot, eV/atom: -9.82
Density, Mg/m³: 13.98

Record 9
Density functional theory data (GGA-PBE) for an optimized crystal structure of Zr2Fe3W4C3.

a = 9.193 Å, b = 5.297 Å, c = 13.574 Å
α = 90.00°, β = 103.26°, γ = 90.00°
Space group C2/c (No. 15)
Symmetry-distinct sites (fractional):
Zr (0.042, 0.083, 0.381) [8 per cell]
Fe (0.000, 0.420, 0.750) [4 per cell]
Fe (0.248, 0.163, 0.751) [8 per cell]
W (0.111, 0.408, 0.586) [8 per cell]
W (0.225, 0.419, 0.914) [8 per cell]
C (0.082, 0.247, 0.000) [8 per cell]
C (0.250, 0.250, 0.500) [4 per cell]

E_tot, eV/atom: -10.32
Density, Mg/m³: 11.58

Record 10
Density functional theory data (GGA-PBE) for an optimized crystal structure of YFe2C6.

a = 3.790 Å, b = 5.867 Å, c = 7.344 Å
α = 90.00°, β = 90.00°, γ = 90.00°
Space group Immm (No. 71)
Symmetry-distinct sites (fractional):
Y (0.000, 0.000, 0.000) [2 per cell]
Fe (0.000, 0.500, 0.197) [4 per cell]
C (0.000, 0.127, 0.500) [4 per cell]
C (0.000, 0.226, 0.321) [8 per cell]

E_tot, eV/atom: -7.92
Density, Mg/m³: 5.55

Record 11
Density functional theory data (GGA-PBE) for an optimized crystal structure of Y3FeC2.

a = 3.5772 Å, b = 3.5772 Å, c = 20.5119 Å
α = 90.00°, β = 90.00°, γ = 120.00°
Space group P6_3/mmc (No. 194)
Symmetry-distinct sites (fractional):
Y (0.0000, 0.0000, 0.0000) [2 per cell]
Y (0.3333, 0.6667, 0.1377) [4 per cell]
Fe (0.0000, 0.0000, 0.2500) [2 per cell]
C (0.3333, 0.6667, 0.5761) [4 per cell]

E_tot, eV/atom: -7.61
Density, Mg/m³: 5.06

Record 12
Density functional theory data (GGA-PBE) for an optimized crystal structure of YFeC2.

a = 3.4330 Å, b = 3.4330 Å, c = 9.3123 Å
α = 90.00°, β = 90.00°, γ = 120.00°
Space group P6_3/mmc (No. 194)
Symmetry-distinct sites (fractional):
Y (0.0000, 0.0000, 0.0000) [2 per cell]
Fe (0.3333, 0.6667, 0.2500) [2 per cell]
C (0.3333, 0.6667, 0.6736) [4 per cell]

E_tot, eV/atom: -8.45
Density, Mg/m³: 5.90